This record from Alexandria describes a relaxed structure of CeDy2Se4. The functional is PBE-GGA.

For the total energy, the calculation gives -0.2208 hartree per atom. The value obtained for the uncorrected formation energy is -42.77 kcal/mol of atoms.

It has space group Cmcm (No. 63), with a = 4.0555 Å, b = 13.4715 Å, c = 13.8501 Å, α = 90.00°, β = 90.00° and γ = 90.00°. Symmetry generates all atoms from Ce at (0.0000, 0.1208, 0.2500), Dy at (0.0000, 0.3685, 0.0662), Se at (0.0000, 0.0000, 0.0000), Se at (0.0000, 0.2730, 0.6209) and Se at (0.0000, 0.4585, 0.2500).